{"formula": "In3Ag", "functional": "GGA-PBE", "state": "relaxed", "lattice": [[7.167, 0.000, 0.000], [0.000, 9.009, 0.000], [0.000, 0.000, 6.144]], "species": ["In", "In", "In", "In", "In", "In", "In", "In", "In", "In", "In", "In", "Ag", "Ag", "Ag", "Ag"], "fractional_positions": [[0.000, 0.250, 0.098], [0.000, 0.750, 0.902], [0.196, 0.039, 0.639], [0.196, 0.461, 0.639], [0.304, 0.539, 0.139], [0.304, 0.961, 0.139], [0.500, 0.250, 0.402], [0.500, 0.750, 0.598], [0.696, 0.039, 0.861], [0.696, 0.461, 0.861], [0.804, 0.539, 0.361], [0.804, 0.961, 0.361], [0.107, 0.750, 0.432], [0.393, 0.250, 0.932], [0.607, 0.750, 0.068], [0.893, 0.250, 0.568]], "formation_enthalpy_0k_kj_per_mol_atoms": 2, "vol_a3_per_atom": 24.8, "magmom_total_mub_per_fu": 0.0}

---

{"formula": "In2Ag", "functional": "GGA-PBE", "state": "relaxed", "lattice": [[3.190, 0.000, 0.000], [0.000, 4.191, 0.000], [0.000, 0.000, 10.455]], "species": ["In", "In", "In", "In", "Ag", "Ag"], "fractional_positions": [[0.000, 0.000, 0.155], [0.000, 0.000, 0.845], [0.500, 0.500, 0.345], [0.500, 0.500, 0.655], [0.000, 0.000, 0.500], [0.500, 0.500, 0.000]], "formation_enthalpy_0k_kj_per_mol_atoms": 4, "vol_a3_per_atom": 23.3, "magmom_total_mub_per_fu": 0.0}

---

{"formula": "In5Ag4", "functional": "GGA-PBE", "state": "relaxed", "lattice": [[8.665, 0.000, 0.000], [-4.333, 7.504, 0.000], [0.000, 0.000, 6.256]], "species": ["In", "In", "In", "In", "In", "In", "In", "In", "In", "In", "Ag", "Ag", "Ag", "Ag", "Ag", "Ag", "Ag", "Ag"], "fractional_positions": [[0.000, 0.306, 0.250], [0.000, 0.694, 0.750], [0.306, 0.000, 0.250], [0.306, 0.306, 0.750], [0.333, 0.667, 0.000], [0.333, 0.667, 0.500], [0.667, 0.333, 0.000], [0.667, 0.333, 0.500], [0.694, 0.000, 0.750], [0.694, 0.694, 0.250], [0.000, 0.000, 0.000], [0.000, 0.000, 0.500], [0.000, 0.355, 0.750], [0.000, 0.645, 0.250], [0.355, 0.000, 0.750], [0.355, 0.355, 0.250], [0.645, 0.000, 0.250], [0.645, 0.645, 0.750]], "formation_enthalpy_0k_kj_per_mol_atoms": 7, "vol_a3_per_atom": 22.6, "relative_energy_mev_per_atom": 41.5, "magmom_total_mub_per_fu": 0.0}

---

{"formula": "InAg", "functional": "GGA-PBE", "state": "relaxed", "lattice": [[3.257, 0.000, 0.000], [-1.629, 2.821, 0.000], [0.000, 0.000, 4.629]], "species": ["In", "Ag"], "fractional_positions": [[0.000, 0.000, 0.000], [0.667, 0.333, 0.500]], "formation_enthalpy_0k_kj_per_mol_atoms": 2, "vol_a3_per_atom": 21.3, "magmom_total_mub_per_fu": 0.0}

---

{"formula": "InAg", "functional": "GGA-PBE", "state": "relaxed", "lattice": [[6.381, 0.000, 0.000], [0.000, 6.381, 0.000], [0.000, 0.000, 6.381]], "species": ["In", "In", "In", "In", "Ag", "Ag", "Ag", "Ag"], "fractional_positions": [[0.000, 0.000, 0.000], [0.000, 0.500, 0.500], [0.500, 0.000, 0.500], [0.500, 0.500, 0.000], [0.250, 0.250, 0.250], [0.250, 0.750, 0.750], [0.750, 0.250, 0.750], [0.750, 0.750, 0.250]], "formation_enthalpy_0k_kj_per_mol_atoms": 38, "vol_a3_per_atom": 32.5, "magmom_total_mub_per_fu": 0.0}

---

{"formula": "InAg", "functional": "GGA-PBE", "state": "relaxed", "lattice": [[5.795, 0.000, 0.000], [0.000, 5.795, 0.000], [0.000, 0.000, 5.795]], "species": ["In", "In", "In", "In", "Ag", "Ag", "Ag", "Ag"], "fractional_positions": [[0.000, 0.000, 0.000], [0.000, 0.500, 0.500], [0.500, 0.000, 0.500], [0.500, 0.500, 0.000], [0.000, 0.000, 0.500], [0.000, 0.500, 0.000], [0.500, 0.000, 0.000], [0.500, 0.500, 0.500]], "formation_enthalpy_0k_kj_per_mol_atoms": 15, "vol_a3_per_atom": 24.3, "magmom_total_mub_per_fu": 0.0}

---

{"formula": "In3Ag5", "functional": "GGA-PBE", "state": "relaxed", "lattice": [[5.759, 0.000, 0.000], [2.526, 7.376, 0.000], [2.296, -0.189, 7.528]], "species": ["In", "In", "In", "In", "In", "In", "Ag", "Ag", "Ag", "Ag", "Ag", "Ag", "Ag", "Ag", "Ag", "Ag"], "fractional_positions": [[0.020, 0.175, 0.069], [0.252, 0.959, 0.539], [0.476, 0.436, 0.327], [0.524, 0.564, 0.673], [0.748, 0.041, 0.461], [0.980, 0.825, 0.931], [0.002, 0.336, 0.411], [0.241, 0.295, 0.707], [0.255, 0.460, 0.035], [0.256, 0.798, 0.202], [0.497, 0.914, 0.836], [0.503, 0.086, 0.164], [0.744, 0.202, 0.798], [0.745, 0.540, 0.965], [0.759, 0.705, 0.293], [0.998, 0.664, 0.589]], "formation_enthalpy_0k_kj_per_mol_atoms": -1, "vol_a3_per_atom": 20.0, "relative_energy_mev_per_atom": 0.0, "magmom_total_mub_per_fu": 0.0}

---

{"formula": "InAg", "functional": "GGA-PBE", "state": "relaxed", "lattice": [[3.175, 0.000, 0.000], [-1.587, 2.750, 0.000], [0.000, 0.000, 10.027]], "species": ["In", "In", "Ag", "Ag"], "fractional_positions": [[0.333, 0.667, 0.143], [0.667, 0.333, 0.857], [0.333, 0.667, 0.612], [0.667, 0.333, 0.388]], "formation_enthalpy_0k_kj_per_mol_atoms": 6, "vol_a3_per_atom": 21.9, "magmom_total_mub_per_fu": 0.0}